No. 1
# BaZn2Os

A crystal of BaZn2Os relaxed with PBEsol (SCAN, Alexandria).

```
BaZn2Os
1.0
2.183 1.261 5.600
-2.183 1.261 5.600
0.000 -2.521 5.600
Ba Zn Os
1 2 1
Cartesian
0.000 0.000 0.000
0.000 0.000 3.115
0.000 0.000 8.190
0.000 0.000 13.636
```

Output
DOS at the Fermi energy = 0.488 states/eV per atom
Total DFT energy (no corrections) = -34.507 eV per atom
ΔE_f = 0.434 eV per formula unit

No. 2
# BaZnOs2

A crystal of BaZnOs2 relaxed with PBEsol (SCAN, Alexandria).

```
BaZnOs2
1.0
-1.418 2.479 5.146
1.418 -2.479 5.146
1.418 2.479 -5.146
Ba Zn Os
1 1 2
Cartesian
0.000 0.000 0.000
0.000 0.000 5.146
1.418 0.000 2.909
0.000 2.479 2.237
```

Output
DOS at the Fermi energy = 0.918 states/eV per atom
Total DFT energy (no corrections) = -48.126 eV per atom
ΔE_f = 4.321 eV per formula unit

No. 3
# BaZnOs2

A crystal of BaZnOs2 relaxed with PBEsol (SCAN, Alexandria).

```
BaZnOs2
1.0
2.865 0.000 0.000
0.000 4.060 0.000
0.000 0.000 6.877
Ba Zn Os
1 1 2
Cartesian
0.000 0.000 0.000
0.000 0.000 3.439
1.432 2.030 2.282
1.432 2.030 4.596
```

Output
DOS at the Fermi energy = 0.950 states/eV per atom
Total DFT energy (no corrections) = -48.316 eV per atom
ΔE_f = 3.560 eV per formula unit

No. 4
# BaZnOs2

A crystal of BaZnOs2 relaxed with PBEsol (SCAN, Alexandria).

```
BaZnOs2
1.0
4.040 0.000 0.000
0.000 4.040 0.000
0.000 0.000 4.632
Ba Zn Os
1 1 2
Cartesian
0.000 0.000 0.000
2.020 2.020 0.000
0.000 2.020 2.316
2.020 0.000 2.316
```

Output
DOS at the Fermi energy = 0.911 states/eV per atom
Total DFT energy (no corrections) = -47.740 eV per atom
ΔE_f = 5.865 eV per formula unit

No. 5
# BaZnOs2

A crystal of BaZnOs2 relaxed with PBEsol (SCAN, Alexandria).

```
BaZnOs2
1.0
2.929 -4.733 0.000
2.929 4.733 0.000
0.000 0.000 2.730
Ba Zn Os
1 1 2
Cartesian
0.000 0.000 0.000
2.929 0.000 0.000
1.464 2.367 1.365
1.464 -2.367 1.365
```

Output
DOS at the Fermi energy = 0.945 states/eV per atom
Total DFT energy (no corrections) = -47.693 eV per atom
ΔE_f = 6.055 eV per formula unit

No. 6
# BaZr2Os

A crystal of BaZr2Os relaxed with PBEsol (SCAN, Alexandria).

```
BaZr2Os
1.0
3.353 0.000 0.000
0.000 3.353 0.000
0.000 0.000 8.721
Ba Zr Os
1 2 1
Cartesian
0.000 0.000 0.000
0.000 0.000 3.648
1.676 1.676 5.545
1.676 1.676 2.346
```

Output
DOS at the Fermi energy = 1.165 states/eV per atom
Total DFT energy (no corrections) = -43.007 eV per atom
E above lowest polymorph = 0.0 meV per atom
ΔE_f = 0.799 eV per formula unit

No. 7
# BaZr2Os

A crystal of BaZr2Os relaxed with PBEsol (SCAN, Alexandria).

```
BaZr2Os
1.0
3.081 -4.602 0.000
3.081 4.602 0.000
-1.024 0.000 2.999
Ba Zr Os
1 2 1
Cartesian
0.000 0.000 0.000
1.028 2.301 1.500
1.028 -2.301 1.500
3.081 0.000 0.000
```

Output
DOS at the Fermi energy = 1.014 states/eV per atom
Total DFT energy (no corrections) = -42.442 eV per atom
E above lowest polymorph = 565.0 meV per atom
ΔE_f = 3.059 eV per formula unit

No. 8
# Ba5P3

A crystal of Ba5P3 relaxed with PBEsol (SCAN, Alexandria).

```
Ba5P3
1.0
9.212 0.000 0.000
-4.606 7.978 0.000
0.000 0.000 7.509
Ba P
10 6
Cartesian
-1.195 2.070 1.877
-3.411 5.907 5.632
2.391 0.000 1.877
1.195 2.070 5.632
0.000 5.318 0.000
0.000 5.318 3.754
4.606 2.659 0.000
4.606 2.659 3.754
6.821 0.000 5.632
3.411 5.907 1.877
-1.810 3.135 5.632
-2.796 4.843 1.877
3.620 0.000 5.632
1.810 3.135 1.877
5.592 0.000 1.877
2.796 4.843 5.632
```

Output
DOS at the Fermi energy = 0.161 states/eV per atom
Total DFT energy (no corrections) = -29.715 eV per atom
ΔE_f = -8.776 eV per formula unit

No. 9
# BaP3

A crystal of BaP3 relaxed with PBEsol (SCAN, Alexandria).

```
BaP3
1.0
6.471 0.000 0.000
0.000 7.684 0.000
-2.092 0.000 7.869
Ba P
4 12
Cartesian
0.577 0.856 2.377
-0.469 2.986 6.311
4.848 4.698 1.558
3.803 6.828 5.492
0.140 5.612 4.251
1.186 5.914 0.317
1.632 4.122 1.473
0.586 7.404 5.407
2.074 4.864 3.501
1.028 6.663 7.436
3.352 1.021 0.433
2.306 2.821 4.368
3.794 0.280 2.462
2.748 3.562 6.396
3.194 1.770 7.552
4.240 2.072 3.618
```

Output
DOS at the Fermi energy = 0.000 states/eV per atom
Total DFT energy (no corrections) = -18.469 eV per atom
ΔE_f = -3.131 eV per formula unit

No. 10
# BaP

A crystal of BaP relaxed with PBEsol (SCAN, Alexandria).

```
BaP
1.0
5.530 -2.222 0.000
5.530 2.222 0.000
-0.686 0.000 4.870
Ba P
2 2
Cartesian
1.277 0.000 1.098
9.097 0.000 3.772
4.391 0.000 1.648
5.982 0.000 3.222
```

Output
DOS at the Fermi energy = 0.024 states/eV per atom
Total DFT energy (no corrections) = -26.084 eV per atom
ΔE_f = -2.220 eV per formula unit

No. 11
# BaP3

A crystal of BaP3 relaxed with PBEsol (SCAN, Alexandria).

```
BaP3
1.0
5.782 -3.820 0.000
5.782 3.820 0.000
-1.830 0.000 4.357
Ba P
2 6
Cartesian
1.417 0.000 1.375
8.318 0.000 2.982
4.271 1.787 1.256
5.464 1.787 3.101
4.671 0.000 0.059
5.064 0.000 4.298
4.271 -1.787 1.256
5.464 -1.787 3.101
```

Output
Total DFT energy (no corrections) = -18.479 eV per atom
ΔE_f = -3.170 eV per formula unit

No. 12
# Ba5P4

A crystal of Ba5P4 relaxed with PBEsol (SCAN, Alexandria).

```
Ba5P4
1.0
8.300 0.000 0.000
0.000 16.455 0.000
0.000 0.000 8.381
Ba P
20 16
Cartesian
0.602 1.692 1.409
0.602 6.535 1.409
0.748 9.927 2.852
0.748 14.755 2.852
2.038 4.114 4.237
2.112 12.341 0.047
3.402 1.700 7.042
3.402 6.527 7.042
3.548 9.919 5.599
3.548 14.762 5.599
4.752 1.692 2.782
4.752 6.535 2.782
4.898 9.927 1.339
4.898 14.755 1.339
6.188 4.114 8.334
6.262 12.341 4.144
7.552 1.700 5.529
7.552 6.527 5.529
7.698 9.919 6.972
7.698 14.762 6.972
1.211 4.114 7.631
1.312 12.341 5.046
2.044 0.857 4.246
2.044 7.370 4.246
2.106 9.085 0.055
2.106 15.597 0.055
2.838 4.114 0.855
2.939 12.341 3.440
5.361 4.114 4.941
5.462 12.341 7.526
6.194 0.857 8.326
6.194 7.370 8.326
6.256 9.085 4.135
6.256 15.597 4.135
6.988 4.114 3.335
7.089 12.341 0.750
```

Output
Total DFT energy (no corrections) = -27.790 eV per atom
ΔE_f = -10.765 eV per formula unit

No. 13
# Ba3P14

A crystal of Ba3P14 relaxed with PBEsol (SCAN, Alexandria).

```
Ba3P14
1.0
6.445 0.000 0.000
0.000 12.935 0.000
-6.375 0.000 9.872
Ba P
6 28
Cartesian
0.000 0.000 0.000
-3.187 6.467 4.936
-1.317 1.941 3.727
-4.504 4.526 8.663
4.575 8.408 1.209
1.387 10.994 6.145
-3.788 1.930 6.418
-0.601 4.537 1.482
0.800 2.884 1.378
-2.387 3.583 6.314
-2.484 0.119 6.812
0.703 6.349 1.876
-3.480 1.118 8.550
-0.293 5.349 3.614
-2.287 9.296 7.157
0.901 10.106 2.221
-1.081 8.914 5.360
2.106 10.488 0.424
-2.663 7.326 8.064
0.524 12.076 3.128
-0.454 0.858 6.743
2.733 5.609 1.807
-2.035 2.447 9.448
1.152 4.021 4.512
-0.830 2.829 7.650
2.357 3.638 2.714
0.363 7.586 6.258
3.551 11.816 1.322
-0.632 6.586 7.995
2.555 12.816 3.060
2.458 9.351 3.557
-0.730 10.051 8.493
0.671 8.398 8.390
3.859 11.004 3.454
```

Output
DOS at the Fermi energy = 0.000 states/eV per atom
Total DFT energy (no corrections) = -16.124 eV per atom
ΔE_f = -9.880 eV per formula unit

No. 14
# BaP2Pd2

A crystal of BaP2Pd2 relaxed with PBEsol (SCAN, Alexandria).

```
BaP2Pd2
1.0
4.229 0.000 0.000
0.000 4.229 0.000
0.000 0.000 5.603
Ba P Pd
1 2 2
Cartesian
0.000 0.000 0.000
2.115 2.115 1.599
2.115 2.115 4.004
0.000 2.115 2.801
2.115 0.000 2.801
```

Output
DOS at the Fermi energy = 0.273 states/eV per atom
Total DFT energy (no corrections) = -26.063 eV per atom
ΔE_f = -4.421 eV per formula unit

No. 15
# BaTiP2Pd

A crystal of BaTiP2Pd relaxed with PBEsol (SCAN, Alexandria).

```
BaTiP2Pd
1.0
4.879 0.000 0.000
0.000 4.879 0.000
0.000 0.000 4.777
Ba Ti P Pd
1 1 2 1
Cartesian
0.000 0.000 0.000
2.439 2.439 0.000
0.000 2.439 2.389
2.439 0.000 2.389
2.439 2.439 2.389
```

Output
DOS at the Fermi energy = 0.533 states/eV per atom
Total DFT energy (no corrections) = -21.872 eV per atom
ΔE_f = -0.206 eV per formula unit

No. 16
# BaP2Pt

A crystal of BaP2Pt relaxed with PBEsol (SCAN, Alexandria).

```
BaP2Pt
1.0
2.041 -3.518 0.000
2.041 3.518 0.000
0.000 0.000 6.889
Ba P Pt
1 2 1
Cartesian
0.000 0.000 0.000
2.041 0.000 2.280
2.041 0.000 4.608
0.000 0.000 3.444
```

Output
DOS at the Fermi energy = 0.799 states/eV per atom
Total DFT energy (no corrections) = -33.068 eV per atom
ΔE_f = -1.732 eV per formula unit

No. 17
# BaP2Pt

A crystal of BaP2Pt relaxed with PBEsol (SCAN, Alexandria).

```
BaP2Pt
1.0
4.510 0.000 0.000
0.000 3.921 0.000
-0.748 0.000 5.173
Ba P Pt
1 2 1
Cartesian
0.000 0.000 0.000
0.625 1.961 3.112
3.137 1.961 2.061
1.881 0.000 2.587
```

Output
DOS at the Fermi energy = 0.095 states/eV per atom
Total DFT energy (no corrections) = -33.683 eV per atom
ΔE_f = -4.190 eV per formula unit

No. 18
# BaP2Pt

A crystal of BaP2Pt relaxed with PBEsol (SCAN, Alexandria).

```
BaP2Pt
1.0
3.465 0.000 0.000
0.000 3.465 0.000
0.000 0.000 6.694
Ba P Pt
1 2 1
Cartesian
0.000 0.000 0.000
1.732 1.732 2.280
1.732 1.732 4.413
0.000 0.000 3.347
```

Output
DOS at the Fermi energy = 0.619 states/eV per atom
Total DFT energy (no corrections) = -32.882 eV per atom
ΔE_f = -0.989 eV per formula unit

No. 19
# BaP2Pt

A crystal of BaP2Pt relaxed with PBEsol (SCAN, Alexandria).

```
BaP2Pt
1.0
-2.015 3.139 3.659
2.015 -3.139 3.659
2.015 3.139 -3.659
Ba P Pt
1 2 1
Cartesian
0.000 0.000 0.000
2.015 0.000 2.464
0.000 3.139 1.195
0.000 0.000 3.659
```

Output
DOS at the Fermi energy = 0.856 states/eV per atom
Total DFT energy (no corrections) = -33.441 eV per atom
ΔE_f = -3.224 eV per formula unit

No. 20
# BaP2Pt

A crystal of BaP2Pt relaxed with PBEsol (SCAN, Alexandria).

```
BaP2Pt
1.0
5.557 -1.937 0.000
5.557 1.937 0.000
-1.380 0.000 4.369
Ba P Pt
1 2 1
Cartesian
0.000 0.000 0.000
6.524 0.000 3.694
8.264 0.000 1.520
1.840 0.000 2.646
```

Output
DOS at the Fermi energy = 0.061 states/eV per atom
Total DFT energy (no corrections) = -33.641 eV per atom
ΔE_f = -4.023 eV per formula unit

No. 21
# Ba4PPt

A crystal of Ba4PPt relaxed with PBEsol (SCAN, Alexandria).

```
Ba4PPt
1.0
0.000 4.658 4.658
4.658 0.000 4.658
4.658 4.658 0.000
Ba P Pt
4 1 1
Cartesian
1.164 1.164 1.164
3.493 3.493 1.164
3.493 1.164 3.493
1.164 3.493 3.493
4.658 4.658 4.658
6.986 6.986 6.986
```

Output
DOS at the Fermi energy = 0.665 states/eV per atom
Total DFT energy (no corrections) = -39.349 eV per atom
ΔE_f = 2.701 eV per formula unit

No. 22
# BaPPt2

A crystal of BaPPt2 relaxed with PBEsol (SCAN, Alexandria).

```
BaPPt2
1.0
-2.604 2.604 7.570
2.604 -2.604 7.570
2.604 2.604 -7.570
Ba P Pt
2 2 4
Cartesian
2.604 1.302 1.892
0.000 1.302 5.677
2.604 -1.302 5.677
0.000 3.907 1.892
0.000 0.000 0.000
1.302 1.302 -3.785
1.302 -1.302 3.785
0.000 2.604 0.000
```

Output
DOS at the Fermi energy = 0.315 states/eV per atom
Total DFT energy (no corrections) = -48.671 eV per atom
ΔE_f = -4.350 eV per formula unit

No. 23
# BaP2Pt

A crystal of BaP2Pt relaxed with PBEsol (SCAN, Alexandria).

```
BaP2Pt
1.0
0.000 3.417 3.417
3.417 0.000 3.417
3.417 3.417 0.000
Ba P Pt
1 2 1
Cartesian
0.000 0.000 0.000
1.709 1.709 1.709
5.126 5.126 5.126
3.417 3.417 3.417
```

Output
DOS at the Fermi energy = 1.176 states/eV per atom
Total DFT energy (no corrections) = -32.420 eV per atom
ΔE_f = 0.859 eV per formula unit

No. 24
# Ba2PPt

A crystal of Ba2PPt relaxed with PBEsol (SCAN, Alexandria).

```
Ba2PPt
1.0
4.420 0.000 0.000
0.000 2.433 5.349
0.000 -2.433 5.349
Ba P Pt
2 1 1
Cartesian
0.000 0.000 0.000
2.210 0.000 3.201
2.210 0.000 6.507
0.000 0.000 7.393
```

Output
DOS at the Fermi energy = 0.754 states/eV per atom
Total DFT energy (no corrections) = -40.917 eV per atom
ΔE_f = -3.976 eV per formula unit